# 1
# Ag2GeBiMo (GGA-PBE, relaxed)
data_Ag2GeBiMo
_space_group_name_H-M_alt 'P 4/m m m'
_space_group_IT_number 123
_space_group_name_Hall '-P 4 2'
_cell_length_a 5.152
_cell_length_b 5.152
_cell_length_c 5.238
_cell_angle_alpha 90.00
_cell_angle_beta 90.00
_cell_angle_gamma 90.00
loop_
_atom_site_label
_atom_site_fract_x
_atom_site_fract_y
_atom_site_fract_z
_atom_site_occupancy
Ag1 0.000 0.500 0.000 1
Ge1 0.000 0.000 0.500 1
Bi1 0.500 0.500 0.500 1
Mo1 0.500 0.500 0.000 1
# spin magnetization = 0.00 μB/cell
# density of states at the Fermi level = 4.60 states/eV/f.u.
# DFT formation energy = 1.2428 eV per atom
# volume = 27.803 Å³ per atom

***

# 2
# NbAgGe2Bi (GGA-PBE, relaxed)
data_NbAgGe2Bi
_space_group_name_H-M_alt 'P 4/m m m'
_space_group_IT_number 123
_space_group_name_Hall '-P 4 2'
_cell_length_a 5.467
_cell_length_b 5.467
_cell_length_c 5.421
_cell_angle_alpha 90.00
_cell_angle_beta 90.00
_cell_angle_gamma 90.00
loop_
_atom_site_label
_atom_site_fract_x
_atom_site_fract_y
_atom_site_fract_z
_atom_site_occupancy
Nb1 0.000 0.000 0.000 1
Ag1 0.500 0.500 0.000 1
Ge1 0.000 0.500 0.500 1
Bi1 0.000 0.000 0.500 1
# spin magnetization = 2.42 μB/cell
# density of states at the Fermi level = 4.23 states/eV/f.u.
# DFT formation energy = 1.4876 eV per atom
# volume = 32.411 Å³ per atom

***

# 3
# NiAgGe2Bi (GGA-PBE, relaxed)
data_NiAgGe2Bi
_space_group_name_H-M_alt 'P 4/m m m'
_space_group_IT_number 123
_space_group_name_Hall '-P 4 2'
_cell_length_a 4.912
_cell_length_b 4.912
_cell_length_c 4.874
_cell_angle_alpha 90.00
_cell_angle_beta 90.00
_cell_angle_gamma 90.00
loop_
_atom_site_label
_atom_site_fract_x
_atom_site_fract_y
_atom_site_fract_z
_atom_site_occupancy
Ni1 0.000 0.000 0.000 1
Ag1 0.000 0.000 0.500 1
Ge1 0.000 0.500 0.500 1
Bi1 0.500 0.500 0.000 1
# spin magnetization = 0.00 μB/cell
# density of states at the Fermi level = 2.40 states/eV/f.u.
# DFT formation energy = 0.7493 eV per atom
# volume = 23.524 Å³ per atom

***

# 4
# AgGe2BiO6 (GGA-PBE, relaxed)
data_AgGe2BiO6
_space_group_name_H-M_alt 'C 1 2/c 1'
_space_group_IT_number 15
_space_group_name_Hall '-C 2yc'
_cell_length_a 10.779
_cell_length_b 10.137
_cell_length_c 5.734
_cell_angle_alpha 90.00
_cell_angle_beta 107.08
_cell_angle_gamma 90.00
loop_
_atom_site_label
_atom_site_fract_x
_atom_site_fract_y
_atom_site_fract_z
_atom_site_occupancy
Ag1 0.000 0.200 0.250 1
Ge1 0.204 0.078 0.744 1
Bi1 0.000 0.380 0.750 1
O1 0.124 0.432 0.155 1
O2 0.136 0.232 0.639 1
O3 0.143 0.035 0.994 1
# spin magnetization = 0.00 μB/cell
# density of states at the Fermi level = 0.00 states/eV/f.u.
# formation energy from raw total energies = -1.2973 eV per atom
# volume = 14.973 Å³ per atom

***

# 5
# AgGe2BiP (GGA-PBE, relaxed)
data_AgGe2BiP
_space_group_name_H-M_alt 'P 4/m m m'
_space_group_IT_number 123
_space_group_name_Hall '-P 4 2'
_cell_length_a 5.511
_cell_length_b 5.511
_cell_length_c 5.212
_cell_angle_alpha 90.00
_cell_angle_beta 90.00
_cell_angle_gamma 90.00
loop_
_atom_site_label
_atom_site_fract_x
_atom_site_fract_y
_atom_site_fract_z
_atom_site_occupancy
Ag1 0.000 0.000 0.000 1
Ge1 0.000 0.500 0.500 1
Bi1 0.000 0.000 0.500 1
P1 0.500 0.500 0.000 1
# spin magnetization = 0.40 μB/cell
# density of states at the Fermi level = 4.01 states/eV/f.u.
# DFT formation energy = 1.2732 eV per atom
# volume = 31.658 Å³ per atom

***

# 6
# ReAgGe2Bi (GGA-PBE, relaxed)
data_ReAgGe2Bi
_space_group_name_H-M_alt 'P 4/m m m'
_space_group_IT_number 123
_space_group_name_Hall '-P 4 2'
_cell_length_a 4.839
_cell_length_b 4.839
_cell_length_c 5.587
_cell_angle_alpha 90.00
_cell_angle_beta 90.00
_cell_angle_gamma 90.00
loop_
_atom_site_label
_atom_site_fract_x
_atom_site_fract_y
_atom_site_fract_z
_atom_site_occupancy
Re1 0.000 0.000 0.000 1
Ag1 0.500 0.500 0.500 1
Ge1 0.000 0.500 0.500 1
Bi1 0.500 0.500 0.000 1
# spin magnetization = 3.34 μB/cell
# density of states at the Fermi level = 2.54 states/eV/f.u.
# DFT formation energy = 1.5613 eV per atom
# volume = 26.166 Å³ per atom

***

- Look up the spin magnetization of the first one.
  0.00 μB/cell

***

Repeat the fourth record exactly.
# AgGe2BiO6 (GGA-PBE, relaxed)
data_AgGe2BiO6
_space_group_name_H-M_alt 'C 1 2/c 1'
_space_group_IT_number 15
_space_group_name_Hall '-C 2yc'
_cell_length_a 10.779
_cell_length_b 10.137
_cell_length_c 5.734
_cell_angle_alpha 90.00
_cell_angle_beta 107.08
_cell_angle_gamma 90.00
loop_
_atom_site_label
_atom_site_fract_x
_atom_site_fract_y
_atom_site_fract_z
_atom_site_occupancy
Ag1 0.000 0.200 0.250 1
Ge1 0.204 0.078 0.744 1
Bi1 0.000 0.380 0.750 1
O1 0.124 0.432 0.155 1
O2 0.136 0.232 0.639 1
O3 0.143 0.035 0.994 1
# spin magnetization = 0.00 μB/cell
# density of states at the Fermi level = 0.00 states/eV/f.u.
# formation energy from raw total energies = -1.2973 eV per atom
# volume = 14.973 Å³ per atom